1.
An optimized crystal structure of LaAg2Hg2, computed with GGA-PBE.

abc: 8.181 8.181 3.574
angles: 90.00 90.00 90.00
Sites, in units of the cell vectors:
Hg  0.177  0.677  0.500
Hg  0.677  0.823  0.500
Hg  0.823  0.323  0.500
Hg  0.323  0.177  0.500
Ag  0.380  0.880  0.000
Ag  0.880  0.620  0.000
Ag  0.620  0.120  0.000
Ag  0.120  0.380  0.000
La  0.000  0.000  0.000
La  0.500  0.500  0.000

Output
* mass density: 10.5 g cm⁻³
* N(E_F): 2.763 states/eV/f.u.
* electronic total energy: -23.6 eV for the cell shown

***

2.
An optimized crystal structure of Ba2LiMgPb6, computed with GGA-PBE.

abc: 7.517 7.517 14.166
angles: 74.61 74.61 60.00
Sites, in units of the cell vectors:
Ba  0.888  0.888  0.335
Ba  0.112  0.112  0.665
Ba  0.716  0.716  0.853
Ba  0.284  0.284  0.147
Li  0.000  0.000  0.000
Li  0.500  0.500  0.500
Mg  0.574  0.574  0.277
Mg  0.426  0.426  0.723
Pb  0.914  0.340  0.407
Pb  0.340  0.914  0.407
Pb  0.340  0.340  0.407
Pb  0.086  0.660  0.593
Pb  0.660  0.086  0.593
Pb  0.660  0.660  0.593
Pb  0.662  0.220  0.898
Pb  0.220  0.662  0.898
Pb  0.220  0.220  0.898
Pb  0.338  0.780  0.102
Pb  0.780  0.338  0.102
Pb  0.780  0.780  0.102

Output
* mass density: 7.8 g cm⁻³
* N(E_F): 5.528 states/eV/f.u.
* electronic total energy: -64.6 eV for the cell shown

***

3.
An optimized crystal structure of SrTaPtO6, computed with GGA-PBE.

abc: 4.988 4.988 9.751
angles: 90.00 90.00 90.00
Sites, in units of the cell vectors:
Sr  0.500  0.500  0.506
Sr  0.000  0.000  0.006
Ta  0.500  0.500  0.169
Ta  0.000  0.000  0.669
Pt  0.500  0.500  0.831
Pt  0.000  0.000  0.331
O  0.166  0.834  0.498
O  0.834  0.166  0.498
O  0.334  0.334  0.998
O  0.666  0.666  0.998
O  0.221  0.779  0.194
O  0.779  0.221  0.194
O  0.279  0.279  0.694
O  0.721  0.721  0.694
O  0.783  0.217  0.805
O  0.217  0.783  0.805
O  0.717  0.717  0.305
O  0.283  0.283  0.305

Output
* mass density: 7.7 g cm⁻³
* raw formation energy: -175.2 kJ per mole of atoms
* N(E_F): 5.813 states/eV/f.u.
* electronic total energy: -131.3 eV for the cell shown

***

4.
An optimized crystal structure of YBe4Se, computed with GGA-PBE.

abc: 4.936 4.936 4.936
angles: 60.00 60.00 60.00
Sites, in units of the cell vectors:
Y  0.000  0.000  0.000
Be  0.368  0.897  0.368
Be  0.897  0.368  0.368
Be  0.368  0.368  0.897
Be  0.368  0.368  0.368
Se  0.750  0.750  0.750

Output
* mass density: 4.0 g cm⁻³
* raw formation energy: 28.7 kJ per mole of atoms
* N(E_F): 2.054 states/eV/f.u.
* electronic total energy: -23.1 eV for the cell shown

***

5.
An optimized crystal structure of Li2CuSbRu, computed with GGA-PBE.

abc: 4.862 4.934 4.862
angles: 90.00 90.00 90.00
Sites, in units of the cell vectors:
Sb  0.000  0.000  0.000
Li  0.000  0.000  0.500
Li  0.500  0.000  0.000
Cu  0.500  0.500  0.500
Ru  0.000  0.500  0.000

Output
* mass density: 4.3 g cm⁻³
* raw formation energy: 72.0 kJ per mole of atoms
* N(E_F): 3.769 states/eV/f.u.
* electronic total energy: -17.6 eV for the cell shown